VASP calculation (PBE+U) on a relaxed HWN2O crystal.

Cell lengths 4.0331, 4.0331, 3.8881 Å; angles 90.00, 90.00, 90.00 degrees
With the nearest neighbours (Å) after each atom.
Fractional positions:
H 0.5000 0.5000 0.5000  8 N 2.80, 4 O 2.85
O 0.0000 0.0000 0.5000  2 W 1.94
W 0.0000 0.0000 0.0000  2 O 1.94, 4 N 2.02
N 0.0000 0.5000 0.0000  2 W 2.02
N 0.5000 0.0000 0.0000  2 W 2.02

Values from the calculation:
Total magnetic moment: 0.20 μB per atom
Final energy: -5.88 eV/atom
Space group: No. 123